Lu4SiNiC2 after structural relaxation, computed with PBE-GGA.

Properties
As for the space group: No. 187. The total magnetization comes out at 0.01 μB/atom. The electronic total energy is -6.295 eV/atom.

a = 3.4894 Å, b = 3.4894 Å, c = 13.7535 Å
α = 90.00°, β = 90.00°, γ = 120.00°
Last column: nearest neighbours and their distance in Å.
Fractional coordinates of all 8 atoms:
Lu (0.0000, 0.0000, 0.1438)  3 C 2.41
Lu (0.0000, 0.0000, 0.8562)  3 C 2.41
Lu (0.3333, 0.6667, 0.3351)  3 C 2.41
Lu (0.3333, 0.6667, 0.6649)  3 C 2.41
Si (0.0000, 0.0000, 0.5000)  6 Lu 3.03
Ni (0.3333, 0.6667, 0.0000)  6 Lu 2.82
C (0.6667, 0.3333, 0.2395)  6 Lu 2.41
C (0.6667, 0.3333, 0.7605)  6 Lu 2.41


HfTe5Se3Cl6 after structural relaxation, computed with PBE-GGA.

Properties
As for the space group: No. 14. The total magnetization comes out at 0.00 μB/atom. The electronic total energy is -3.875 eV/atom.

a = 11.4413 Å, b = 11.8678 Å, c = 15.0635 Å
α = 90.00°, β = 109.67°, γ = 90.00°
Last column: nearest neighbours and their distance in Å.
Fractional coordinates of all 60 atoms:
Hf (0.2022, 0.2177, 0.0977)  6 Cl 2.42-2.49
Hf (0.2022, 0.2823, 0.5977)  6 Cl 2.42-2.49
Hf (0.7978, 0.7177, 0.4023)  6 Cl 2.42-2.49
Hf (0.7978, 0.7823, 0.9023)  6 Cl 2.42-2.49
Te (0.1300, 0.6605, 0.8040)  2 Se 2.54-2.56
Te (0.1300, 0.8395, 0.3040)  2 Se 2.54-2.56
Te (0.1997, 0.6512, 0.4528)  1 Se 2.54, 1 Te 2.80
Te (0.1997, 0.8488, 0.9528)  1 Se 2.54, 1 Te 2.80
Te (0.2724, 0.0133, 0.8482)  2 Te 2.77-2.80, 1 Cl 3.03
Te (0.2724, 0.4867, 0.3482)  2 Te 2.77-2.80, 1 Cl 3.03
Te (0.3554, 0.5633, 0.0414)  2 Se 2.58-2.63
Te (0.3554, 0.9367, 0.5414)  2 Se 2.58-2.63
Te (0.3816, 0.6429, 0.2641)  1 Se 2.58, 1 Te 2.77
Te (0.3816, 0.8571, 0.7641)  1 Se 2.58, 1 Te 2.77
Te (0.6184, 0.1429, 0.2359)  1 Se 2.58, 1 Te 2.77
Te (0.6184, 0.3571, 0.7359)  1 Se 2.58, 1 Te 2.77
Te (0.6446, 0.0633, 0.4586)  2 Se 2.58-2.63
Te (0.6446, 0.4367, 0.9586)  2 Se 2.58-2.63
Te (0.7276, 0.5133, 0.6518)  2 Te 2.77-2.80, 1 Cl 3.03
Te (0.7276, 0.9867, 0.1518)  2 Te 2.77-2.80, 1 Cl 3.03
Te (0.8003, 0.1512, 0.0472)  1 Se 2.54, 1 Te 2.80
Te (0.8003, 0.3488, 0.5472)  1 Se 2.54, 1 Te 2.80
Te (0.8700, 0.1605, 0.6960)  2 Se 2.54-2.56
Te (0.8700, 0.3395, 0.1960)  2 Se 2.54-2.56
Se (0.1654, 0.7232, 0.1720)  2 Te 2.56-2.58
Se (0.1654, 0.7768, 0.6720)  2 Te 2.56-2.58
Se (0.3371, 0.5576, 0.8629)  2 Te 2.54-2.63
Se (0.3371, 0.9424, 0.3629)  2 Te 2.54-2.63
Se (0.4158, 0.7276, 0.5383)  2 Te 2.54-2.58
Se (0.4158, 0.7724, 0.0383)  2 Te 2.54-2.58
Se (0.5842, 0.2276, 0.9617)  2 Te 2.54-2.58
Se (0.5842, 0.2724, 0.4617)  2 Te 2.54-2.58
Se (0.6629, 0.0576, 0.6371)  2 Te 2.54-2.63
Se (0.6629, 0.4424, 0.1371)  2 Te 2.54-2.63
Se (0.8346, 0.2232, 0.3280)  2 Te 2.56-2.58
Se (0.8346, 0.2768, 0.8280)  2 Te 2.56-2.58
Cl (0.0632, 0.1221, 0.5687)  1 Hf 2.42
Cl (0.0632, 0.3779, 0.0687)  1 Hf 2.42
Cl (0.0749, 0.1159, 0.9565)  1 Hf 2.45
Cl (0.0749, 0.3841, 0.4565)  1 Hf 2.45
Cl (0.0831, 0.1366, 0.1934)  1 Hf 2.49
Cl (0.0831, 0.3634, 0.6934)  1 Hf 2.49
Cl (0.3114, 0.1950, 0.5008)  1 Hf 2.45
Cl (0.3114, 0.3050, 0.0008)  1 Hf 2.45
Cl (0.3439, 0.0517, 0.1360)  1 Hf 2.49
Cl (0.3439, 0.4483, 0.6360)  1 Hf 2.49
Cl (0.3537, 0.1931, 0.7382)  1 Hf 2.48
Cl (0.3537, 0.3068, 0.2382)  1 Hf 2.48
Cl (0.6463, 0.6932, 0.7618)  1 Hf 2.48
Cl (0.6463, 0.8068, 0.2618)  1 Hf 2.48
Cl (0.6561, 0.5517, 0.3640)  1 Hf 2.49
Cl (0.6561, 0.9483, 0.8640)  1 Hf 2.49
Cl (0.6886, 0.6950, 0.9992)  1 Hf 2.45
Cl (0.6886, 0.8050, 0.4992)  1 Hf 2.45
Cl (0.9169, 0.6366, 0.3066)  1 Hf 2.49
Cl (0.9169, 0.8634, 0.8066)  1 Hf 2.49
Cl (0.9251, 0.6159, 0.5435)  1 Hf 2.45
Cl (0.9251, 0.8841, 0.0435)  1 Hf 2.45
Cl (0.9368, 0.6221, 0.9313)  1 Hf 2.42
Cl (0.9368, 0.8779, 0.4313)  1 Hf 2.42